Record 1
Material: Na2ZnN2
Method: DFT, GGA-PBEsol
State: optimized geometry Values from VASP.

Results
Its density of states at the Fermi level is 4.88 states/eV per cell. Its crystal system is tetragonal. The final energy is -4.16 eV per atom.

```
&SYSTEM
  ibrav = 0, nat = 10, ntyp = 3
/
ATOMIC_SPECIES
Na 22.99 Na.upf
Zn 65.41 Zn.upf
N 14.01 N.upf
CELL_PARAMETERS angstrom
8.080 0.000 0.000
0.000 8.080 0.000
0.000 0.000 2.859
ATOMIC_POSITIONS angstrom
Na 1.849 2.191 0.000
Na 2.191 6.232 0.000
Na 5.889 1.849 0.000
Na 6.232 5.889 0.000
Zn 0.000 0.000 1.430
Zn 4.040 4.040 1.430
N 0.409 3.632 1.430
N 3.632 7.672 1.430
N 4.449 0.409 1.430
N 7.672 4.449 1.430
```



Record 2
Material: Nb2N
Method: DFT, GGA-PBEsol
State: optimized geometry Values from VASP.

Results
Its density of states at the Fermi level is 3.49 states/eV per cell. Its crystal system is trigonal. The final energy is -11.08 eV per atom.

```
&SYSTEM
  ibrav = 0, nat = 9, ntyp = 2
/
ATOMIC_SPECIES
Nb 92.91 Nb.upf
N 14.01 N.upf
CELL_PARAMETERS angstrom
5.294 0.000 0.000
-2.647 4.585 0.000
0.000 0.000 4.967
ATOMIC_POSITIONS angstrom
Nb -0.883 1.530 1.234
Nb -1.764 3.055 3.732
Nb 1.767 0.000 1.234
Nb 0.883 1.530 3.732
Nb 3.527 0.000 3.732
Nb 1.764 3.055 1.234
N 0.000 0.000 0.000
N 0.000 3.057 2.483
N 2.647 1.528 2.483
```



Record 3
Material: NbN
Method: DFT, GGA-PBEsol
State: optimized geometry Values from VASP.

Results
Its density of states at the Fermi level is 4.53 states/eV per cell. Its crystal system is hexagonal. The final energy is -10.75 eV per atom.

```
&SYSTEM
  ibrav = 0, nat = 8, ntyp = 2
/
ATOMIC_SPECIES
Nb 92.91 Nb.upf
N 14.01 N.upf
CELL_PARAMETERS angstrom
2.973 0.000 0.000
-1.486 2.574 0.000
0.000 0.000 11.296
ATOMIC_POSITIONS angstrom
Nb 0.000 1.716 1.382
Nb 0.000 1.716 4.266
Nb 1.486 0.858 7.030
Nb 1.486 0.858 9.914
N 0.000 0.000 0.000
N 0.000 0.000 5.648
N 0.000 1.716 8.472
N 1.486 0.858 2.824
```



Record 4
Material: NbN
Method: DFT, GGA-PBEsol
State: optimized geometry Values from VASP.

Results
Its density of states at the Fermi level is 0.94 states/eV per cell. Its crystal system is hexagonal. The final energy is -10.92 eV per atom.

```
&SYSTEM
  ibrav = 0, nat = 4, ntyp = 2
/
ATOMIC_SPECIES
Nb 92.91 Nb.upf
N 14.01 N.upf
CELL_PARAMETERS angstrom
2.975 0.000 0.000
-1.488 2.576 0.000
0.000 0.000 5.556
ATOMIC_POSITIONS angstrom
Nb 0.000 1.718 1.389
Nb 1.488 0.859 4.167
N 0.000 0.000 0.000
N 0.000 0.000 2.778
```



Record 5
Material: Nb2N3
Method: DFT, GGA-PBEsol
State: optimized geometry Values from VASP.

Results
Its density of states at the Fermi level is 5.37 states/eV per cell. Its crystal system is orthorhombic. The final energy is -10.48 eV per atom.

```
&SYSTEM
  ibrav = 0, nat = 20, ntyp = 2
/
ATOMIC_SPECIES
Nb 92.91 Nb.upf
N 14.01 N.upf
CELL_PARAMETERS angstrom
8.252 0.000 0.000
0.000 2.994 0.000
0.000 0.000 8.104
ATOMIC_POSITIONS angstrom
Nb 0.179 0.749 1.518
Nb 1.611 0.749 4.086
Nb 2.515 2.246 0.034
Nb 3.947 2.246 5.570
Nb 4.305 0.749 2.534
Nb 5.736 0.749 8.070
Nb 6.641 2.246 4.018
Nb 8.073 2.246 6.586
N 0.375 2.246 3.036
N 1.001 0.749 7.711
N 1.832 2.246 5.700
N 2.294 0.749 1.648
N 3.125 2.246 3.659
N 3.751 0.749 7.088
N 4.501 2.246 1.016
N 5.126 0.749 4.445
N 5.957 2.246 6.456
N 6.420 0.749 2.404
N 7.251 2.246 0.393
N 7.877 0.749 5.069
```



Record 6
Material: NbN
Method: DFT, GGA-PBEsol
State: optimized geometry Values from VASP.

Results
Its density of states at the Fermi level is 0.27 states/eV per cell. Its crystal system is hexagonal. The final energy is -10.95 eV per atom.

```
&SYSTEM
  ibrav = 0, nat = 2, ntyp = 2
/
ATOMIC_SPECIES
Nb 92.91 Nb.upf
N 14.01 N.upf
CELL_PARAMETERS angstrom
2.951 0.000 0.000
-1.475 2.555 0.000
0.000 0.000 2.875
ATOMIC_POSITIONS angstrom
Nb 0.000 0.000 0.000
N 1.475 0.852 1.438
```



Record 7
Material: Nb4N3
Method: DFT, GGA-PBEsol
State: optimized geometry Values from VASP.

Results
Its density of states at the Fermi level is 2.93 states/eV per cell. Its crystal system is tetragonal. The final energy is -10.94 eV per atom.

```
&SYSTEM
  ibrav = 0, nat = 7, ntyp = 2
/
ATOMIC_SPECIES
Nb 92.91 Nb.upf
N 14.01 N.upf
CELL_PARAMETERS angstrom
-2.194 2.194 4.319
2.194 -2.194 4.319
2.194 2.194 -4.319
ATOMIC_POSITIONS angstrom
Nb 2.194 0.000 0.000
Nb 0.000 0.000 2.128
Nb 0.000 2.194 0.000
Nb 0.000 0.000 6.511
N 2.194 0.000 2.160
N 0.000 0.000 4.319
N 0.000 2.194 2.160
```



Record 8
Material: Nb4N5
Method: DFT, GGA-PBEsol
State: optimized geometry Values from VASP.

Results
Its density of states at the Fermi level is 1.48 states/eV per cell. Its crystal system is tetragonal. The final energy is -10.69 eV per atom.

```
&SYSTEM
  ibrav = 0, nat = 9, ntyp = 2
/
ATOMIC_SPECIES
Nb 92.91 Nb.upf
N 14.01 N.upf
CELL_PARAMETERS angstrom
-3.435 3.435 2.145
3.435 -3.435 2.145
3.435 3.435 -2.145
ATOMIC_POSITIONS angstrom
Nb 1.958 0.720 0.000
Nb 2.715 -1.477 2.145
Nb 0.720 4.912 0.000
Nb 1.477 2.715 2.145
N 0.000 0.000 0.000
N 4.068 1.340 0.000
N 1.340 2.803 0.000
N 2.095 0.633 2.145
N -0.633 2.095 2.145
```



Record 9
Material: Nb3N5
Method: DFT, GGA-PBEsol
State: optimized geometry Values from VASP.

Results
Its crystal system is orthorhombic. The final energy is -10.26 eV per atom.

```
&SYSTEM
  ibrav = 0, nat = 16, ntyp = 2
/
ATOMIC_SPECIES
Nb 92.91 Nb.upf
N 14.01 N.upf
CELL_PARAMETERS angstrom
1.948 -5.160 0.000
1.948 5.160 0.000
0.000 0.000 10.301
ATOMIC_POSITIONS angstrom
Nb 1.948 3.805 5.756
Nb 1.948 3.805 9.696
Nb 1.948 3.056 2.575
Nb 1.948 -3.056 7.726
Nb 1.948 -3.805 0.605
Nb 1.948 -3.805 4.545
N 1.948 4.674 1.248
N 1.948 4.674 3.902
N 1.948 2.745 7.726
N 1.948 1.968 0.755
N 1.948 1.968 4.396
N 1.948 -1.968 5.905
N 1.948 -1.968 9.546
N 1.948 -2.745 2.575
N 1.948 -4.674 6.399
N 1.948 -4.674 9.053
```



Record 10
Material: NbNiN2O
Method: DFT, GGA-PBEsol
State: optimized geometry Values from VASP.

Results
Its density of states at the Fermi level is 2.17 states/eV per cell. Its crystal system is tetragonal. The final energy is -6.91 eV per atom.

```
&SYSTEM
  ibrav = 0, nat = 5, ntyp = 4
/
ATOMIC_SPECIES
Nb 92.91 Nb.upf
Ni 58.69 Ni.upf
N 14.01 N.upf
O 16.00 O.upf
CELL_PARAMETERS angstrom
3.833 0.000 0.000
0.000 3.833 0.000
0.000 0.000 3.306
ATOMIC_POSITIONS angstrom
Nb 0.000 0.000 0.000
Ni 1.917 1.917 0.000
N 0.000 1.917 1.653
N 1.917 0.000 1.653
O 1.917 1.917 1.653
```



Record 11
Material: SrNbNi2N
Method: DFT, GGA-PBEsol
State: optimized geometry Values from VASP.

Results
Its density of states at the Fermi level is 6.45 states/eV per cell. Its crystal system is tetragonal. The final energy is -4.82 eV per atom.

```
&SYSTEM
  ibrav = 0, nat = 5, ntyp = 4
/
ATOMIC_SPECIES
Sr 87.62 Sr.upf
Nb 92.91 Nb.upf
Ni 58.69 Ni.upf
N 14.01 N.upf
CELL_PARAMETERS angstrom
4.350 0.000 0.000
0.000 4.350 0.000
0.000 0.000 6.353
ATOMIC_POSITIONS angstrom
Sr 0.000 0.000 0.000
Nb 0.000 0.000 3.176
Ni 0.000 2.175 3.176
Ni 2.175 0.000 3.176
N 2.175 2.175 0.000
```



Record 12
Material: NbNO2
Method: DFT, GGA-PBEsol
State: optimized geometry Values from VASP.

Results
Its density of states at the Fermi level is 6.34 states/eV per cell. Its crystal system is tetragonal. The final energy is -7.79 eV per atom.

```
&SYSTEM
  ibrav = 0, nat = 8, ntyp = 3
/
ATOMIC_SPECIES
Nb 92.91 Nb.upf
N 14.01 N.upf
O 16.00 O.upf
CELL_PARAMETERS angstrom
-2.989 2.989 4.617
2.989 -2.989 4.617
2.989 2.989 -4.617
ATOMIC_POSITIONS angstrom
Nb 2.989 1.494 1.154
Nb 0.000 1.494 3.463
N 2.989 -1.494 3.463
N 0.000 4.483 1.154
O 2.989 0.000 0.000
O -1.494 1.494 2.308
O 0.000 0.000 4.617
O 1.494 1.494 2.308
```



Record 13
Material: NbNO
Method: DFT, GGA-PBEsol
State: optimized geometry Values from VASP.

Results
Its crystal system is triclinic. The final energy is -9.91 eV per atom.

```
&SYSTEM
  ibrav = 0, nat = 24, ntyp = 3
/
ATOMIC_SPECIES
Nb 92.91 Nb.upf
N 14.01 N.upf
O 16.00 O.upf
CELL_PARAMETERS angstrom
4.993 0.000 0.000
0.914 5.141 0.000
0.001 0.027 10.132
ATOMIC_POSITIONS angstrom
Nb 0.000 0.000 0.000
Nb 0.468 2.621 7.121
Nb 2.434 2.285 9.643
Nb 2.902 4.856 7.606
Nb 2.459 2.222 4.567
Nb 2.953 4.879 2.582
Nb 4.943 0.067 5.090
Nb 5.404 2.573 1.996
N 0.905 1.290 3.529
N 0.936 1.276 8.606
N 1.398 3.847 8.637
N 1.920 3.579 0.999
N 1.943 3.629 6.021
N 1.488 1.024 1.045
N 1.497 1.056 6.131
N 3.278 0.359 3.935
O 1.387 3.835 3.566
O 3.689 2.937 3.167
O 3.260 0.379 9.007
O 3.723 2.951 8.250
O 4.148 1.901 0.647
O 4.155 1.933 5.751
O 4.614 4.486 1.394
O 4.619 4.517 6.498
```



Record 14
Material: NbNO
Method: DFT, GGA-PBEsol
State: optimized geometry Values from VASP.

Results
Its density of states at the Fermi level is 0.00 states/eV per cell. Its crystal system is monoclinic. The final energy is -9.94 eV per atom.

```
&SYSTEM
  ibrav = 0, nat = 12, ntyp = 3
/
ATOMIC_SPECIES
Nb 92.91 Nb.upf
N 14.01 N.upf
O 16.00 O.upf
CELL_PARAMETERS angstrom
4.992 0.000 0.000
0.000 5.059 0.000
-0.901 0.000 5.133
ATOMIC_POSITIONS angstrom
Nb 0.773 0.247 1.442
Nb 0.323 2.283 4.009
Nb 3.768 2.776 1.124
Nb 3.318 4.812 3.691
N -0.172 3.771 2.680
N 0.278 3.817 0.114
N 3.813 1.242 5.019
N 4.263 1.288 2.453
O 1.599 0.888 3.344
O 2.050 1.642 0.778
O 2.041 3.417 4.355
O 2.492 4.171 1.789
```



Record 15
Material: Nb10N11O
Method: DFT, GGA-PBEsol
State: optimized geometry Values from VASP.

Results
Its density of states at the Fermi level is 18.09 states/eV per cell. Its crystal system is monoclinic. The final energy is -10.69 eV per atom.

```
&SYSTEM
  ibrav = 0, nat = 44, ntyp = 3
/
ATOMIC_SPECIES
Nb 92.91 Nb.upf
N 14.01 N.upf
O 16.00 O.upf
CELL_PARAMETERS angstrom
5.202 0.000 0.000
0.000 10.446 0.000
-5.175 0.000 9.028
ATOMIC_POSITIONS angstrom
Nb 0.000 0.005 0.000
Nb -2.588 10.440 4.514
Nb -0.848 2.629 1.539
Nb -3.436 7.817 6.053
Nb -3.455 2.543 6.149
Nb -0.867 7.903 1.635
Nb 1.742 2.638 0.031
Nb -0.845 7.807 4.545
Nb 0.067 10.441 3.036
Nb -2.521 0.004 7.551
Nb 0.915 5.204 1.570
Nb -1.673 5.241 6.084
Nb -0.726 2.530 4.541
Nb 1.862 7.915 0.027
Nb -1.695 5.194 9.017
Nb 0.893 5.251 4.503
Nb 2.600 0.017 1.569
Nb 0.012 10.428 6.083
Nb 0.878 5.193 7.525
Nb 3.466 5.252 3.011
N -4.293 1.310 7.564
N 0.018 3.923 0.038
N -2.570 6.523 4.552
N -1.705 9.135 3.050
N -1.681 1.337 3.041
N -4.269 9.109 7.555
N 0.862 1.329 1.507
N -1.726 9.116 6.021
N -2.571 3.902 7.526
N 0.016 6.543 3.011
N -1.698 1.325 6.024
N 0.890 9.120 1.510
N 0.007 3.901 3.053
N -2.580 6.545 7.567
N 2.618 3.901 1.529
N 0.030 6.545 6.043
N 3.467 1.341 0.058
N 0.060 3.894 6.007
N 2.647 6.552 1.493
N 0.880 9.105 4.572
N 0.915 1.311 4.554
N 3.502 9.134 0.040
O -2.539 3.888 4.576
O 0.048 6.557 0.062
```



Record 16
Material: NbNO
Method: DFT, GGA-PBEsol
State: optimized geometry Values from VASP.

Results
Its density of states at the Fermi level is 0.00 states/eV per cell. Its crystal system is monoclinic. The final energy is -9.82 eV per atom.

```
&SYSTEM
  ibrav = 0, nat = 12, ntyp = 3
/
ATOMIC_SPECIES
Nb 92.91 Nb.upf
N 14.01 N.upf
O 16.00 O.upf
CELL_PARAMETERS angstrom
6.326 -1.988 0.000
6.326 1.988 0.000
-1.862 0.000 6.480
ATOMIC_POSITIONS angstrom
Nb 0.905 0.000 1.394
Nb 1.165 0.000 5.150
Nb 9.626 0.000 1.330
Nb 9.886 0.000 5.086
N 2.997 0.000 0.914
N 3.150 0.000 4.942
N 7.640 0.000 1.538
N 7.793 0.000 5.566
O -0.901 0.000 5.693
O 0.618 0.000 3.321
O 10.172 0.000 3.159
O 11.691 0.000 0.787
```



Record 17
Material: NbNO
Method: DFT, GGA-PBEsol
State: optimized geometry Values from VASP.

Results
Its crystal system is tetragonal. The final energy is -9.81 eV per atom.

```
&SYSTEM
  ibrav = 0, nat = 6, ntyp = 3
/
ATOMIC_SPECIES
Nb 92.91 Nb.upf
N 14.01 N.upf
O 16.00 O.upf
CELL_PARAMETERS angstrom
-1.973 1.973 5.146
1.973 -1.973 5.146
1.973 1.973 -5.146
ATOMIC_POSITIONS angstrom
Nb 0.000 0.000 0.000
Nb 0.000 1.973 2.573
N 0.000 1.973 0.639
N 0.000 0.000 8.358
O 0.000 0.000 2.413
O 0.000 1.973 4.986
```



Record 18
Material: NbPNO2
Method: DFT, GGA-PBEsol
State: optimized geometry Values from VASP.

Results
Its density of states at the Fermi level is 2.24 states/eV per cell. Its crystal system is tetragonal. The final energy is -7.61 eV per atom.

```
&SYSTEM
  ibrav = 0, nat = 5, ntyp = 4
/
ATOMIC_SPECIES
Nb 92.91 Nb.upf
P 30.97 P.upf
N 14.01 N.upf
O 16.00 O.upf
CELL_PARAMETERS angstrom
3.890 0.000 0.000
0.000 3.890 0.000
0.000 0.000 4.224
ATOMIC_POSITIONS angstrom
Nb 0.000 0.000 0.000
P 1.945 1.945 2.112
N 0.000 0.000 2.112
O 0.000 1.945 0.000
O 1.945 0.000 0.000
```



Record 19
Material: RbNbNO2
Method: DFT, GGA-PBEsol
State: optimized geometry Values from VASP.

Results
Its density of states at the Fermi level is 1.82 states/eV per cell. Its crystal system is tetragonal. The final energy is -7.61 eV per atom.

```
&SYSTEM
  ibrav = 0, nat = 5, ntyp = 4
/
ATOMIC_SPECIES
Rb 85.47 Rb.upf
Nb 92.91 Nb.upf
N 14.01 N.upf
O 16.00 O.upf
CELL_PARAMETERS angstrom
4.068 0.000 0.000
0.000 4.068 0.000
0.000 0.000 4.181
ATOMIC_POSITIONS angstrom
Rb 0.000 0.000 0.000
Nb 2.034 2.034 2.090
N 2.034 2.034 0.000
O 0.000 2.034 2.090
O 2.034 0.000 2.090
```



Record 20
Material: NbSbN2O
Method: DFT, GGA-PBEsol
State: optimized geometry Values from VASP.

Results
Its density of states at the Fermi level is 0.59 states/eV per cell. Its crystal system is tetragonal. The final energy is -7.92 eV per atom.

```
&SYSTEM
  ibrav = 0, nat = 5, ntyp = 4
/
ATOMIC_SPECIES
Nb 92.91 Nb.upf
Sb 121.76 Sb.upf
N 14.01 N.upf
O 16.00 O.upf
CELL_PARAMETERS angstrom
4.137 0.000 0.000
0.000 4.137 0.000
0.000 0.000 3.884
ATOMIC_POSITIONS angstrom
Nb 0.000 0.000 0.000
Sb 2.069 2.069 1.942
N 0.000 2.069 0.000
N 2.069 0.000 0.000
O 0.000 0.000 1.942
```



| no. | raw formation energy (eV/atom) |
| --- | --- |
| 1 | 0.13 |
| 2 | -1.02 |
| 3 | -1.07 |
| 4 | -1.24 |
| 5 | -1.04 |
| 6 | -1.28 |
| 7 | -1.10 |
| 8 | -1.14 |
| 9 | -0.87 |
| 10 | 0.95 |
| 11 | 1.88 |
| 12 | -0.33 |
| 13 | -1.71 |
| 14 | -1.74 |
| 15 | -1.27 |
| 16 | -1.63 |
| 17 | -1.61 |
| 18 | -0.48 |
| 19 | -1.44 |
| 20 | -0.38 |